! PBE TaCdHg2, optimized geometry; values from VASP
! N(E_F): 0.7136 states/eV/atom
! electronic total energy: -2.919 eV per atom
! total magnetization: 0.00 μB/atom
! symmetry: No. 47
&SYSTEM
  ibrav = 0, nat = 4, ntyp = 3
/
ATOMIC_SPECIES
Hg 200.59 Hg.upf
Ta 180.95 Ta.upf
Cd 112.41 Cd.upf
ATOMIC_POSITIONS crystal
Hg 0.000 0.000 0.488
Ta 0.500 0.500 0.250
Cd 0.500 0.500 0.750
Hg 0.000 0.000 0.012
CELL_PARAMETERS angstrom
-0.070 1.790 2.414
-4.266 -0.660 0.365
1.091 -4.991 3.733